Li2TmHg6 | PBE | optimized geometry

```
Li2TmHg6
1.0
-4.337 -1.961 0.030
2.925 -6.556 -5.796
2.431 -5.265 7.183
Li Tm Hg
4 2 12
direct
0.000 0.305 0.797
0.500 0.805 0.703
0.500 0.195 0.297
0.000 0.695 0.203
0.500 0.500 0.000
0.000 0.000 0.500
0.000 0.022 0.173
0.000 0.672 0.528
0.000 0.646 0.861
0.500 0.146 0.639
0.500 0.172 0.972
0.500 0.522 0.327
0.000 0.978 0.827
0.000 0.328 0.472
0.000 0.354 0.139
0.500 0.854 0.361
0.500 0.828 0.028
0.500 0.478 0.673
```

Formation energy ... -2.4 eV/f.u.
Symmetry ... Pnnm, No. 58